Entry 1:
## MgCuMo2 (SCAN)

Data for a PBEsol-optimized structure of MgCuMo2.

Computed properties:
- ρ: 7.8 g/cm³
- SG: No. 123
- VASP energy: -88.624 eV per formula unit
- Formation enthalpy at 0 K: 0.330 eV/atom
- Energy above the lowest structure with this stoichiometry: 0.38 eV per formula unit

a b c (Å): 2.625 2.625 8.609
angles (deg): 90.00 90.00 90.00
Positions (direct):
Cu  0.500  0.500  0.000
Mg  0.500  0.500  0.500
Mo  0.000  0.000  0.769
Mo  0.000  0.000  0.231


Entry 2:
## MgCuMo (SCAN)

Data for a PBEsol-optimized structure of MgCuMo.

Computed properties:
- ρ: 6.9 g/cm³
- SG: No. 156
- VASP energy: -53.611 eV per formula unit
- Formation enthalpy at 0 K: 0.483 eV/atom
- Energy above the lowest structure with this stoichiometry: 0.00 eV per formula unit

a b c (Å): 2.599 4.431 4.431
angles (deg): 120.00 90.00 90.00
Positions (direct):
Cu  0.938  0.000  0.000
Mg  0.751  0.667  0.333
Mo  0.311  0.333  0.667


Entry 3:
## MgCuMo2 (SCAN)

Data for a PBEsol-optimized structure of MgCuMo2.

Computed properties:
- ρ: 7.9 g/cm³
- SG: No. 119
- VASP energy: -88.509 eV per formula unit
- Formation enthalpy at 0 K: 0.359 eV/atom
- Energy above the lowest structure with this stoichiometry: 0.49 eV per formula unit

a b c (Å): 3.942 3.942 4.712
angles (deg): 114.73 114.73 90.00
Positions (direct):
Cu  0.500  0.500  0.000
Mg  0.250  0.750  0.500
Mo  0.000  0.000  0.000
Mo  0.750  0.250  0.500


Entry 4:
## MgCu2Mo (SCAN)

Data for a PBEsol-optimized structure of MgCu2Mo.

Computed properties:
- ρ: 7.4 g/cm³
- SG: No. 225
- VASP energy: -69.086 eV per formula unit
- Formation enthalpy at 0 K: 0.293 eV/atom
- Energy above the lowest structure with this stoichiometry: 0.35 eV per formula unit

a b c (Å): 4.282 4.282 4.282
angles (deg): 60.00 60.00 60.00
Last column: magnetic moment on the atom in μB.
Positions (direct):
Cu  0.750  0.750  0.750  0.07
Cu  0.250  0.250  0.250  0.07
Mg  0.500  0.500  0.500  -0.01
Mo  0.000  0.000  0.000  1.40


Entry 5:
## MgCuMo2 (SCAN)

Data for a PBEsol-optimized structure of MgCuMo2.

Computed properties:
- ρ: 7.8 g/cm³
- SG: No. 71
- VASP energy: -89.003 eV per formula unit
- Formation enthalpy at 0 K: 0.235 eV/atom
- Energy above the lowest structure with this stoichiometry: 0.00 eV per formula unit

a b c (Å): 3.330 3.963 5.178
angles (deg): 112.50 108.76 90.00
Positions (direct):
Cu  0.500  0.000  0.000
Mg  0.000  0.500  0.000
Mo  0.756  0.756  0.513
Mo  0.244  0.244  0.487


Entry 6:
## MgCu2MoP (SCAN)

Data for a PBEsol-optimized structure of MgCu2MoP.

Computed properties:
- ρ: 5.5 g/cm³
- SG: No. 123
- VASP energy: -76.663 eV per formula unit
- Formation enthalpy at 0 K: 0.799 eV/atom

a b c (Å): 4.210 4.210 4.719
angles (deg): 90.00 90.00 90.00
Last column: magnetic moment on the atom in μB.
Positions (direct):
P  0.000  0.000  0.000  0.14
Mo  0.500  0.500  0.500  3.39
Mg  0.000  0.000  0.500  0.01
Cu  0.000  0.500  0.000  0.04
Cu  0.500  0.000  0.000  0.04


Entry 7:
## Mg3CuN (SCAN)

Data for a PBEsol-optimized structure of Mg3CuN.

Computed properties:
- Uncorrected formation energy: 990 meV/atom
- ρ: 2.4 g/cm³
- SG: No. 221
- VASP energy: -34.464 eV per formula unit

a b c (Å): 4.731 4.731 4.731
angles (deg): 90.00 90.00 90.00
Last column: magnetic moment on the atom in μB.
Positions (direct):
Mg  0.000  0.500  0.000  0.01
Mg  0.000  0.000  0.500  0.01
Mg  0.500  0.000  0.000  0.01
Cu  0.000  0.000  0.000  0.01
N  0.500  0.500  0.500  1.40


Entry 8:
## MgCuNO2 (SCAN)

Data for a PBEsol-optimized structure of MgCuNO2.

Computed properties:
- Uncorrected formation energy: 268 meV/atom
- ρ: 3.8 g/cm³
- SG: No. 123
- VASP energy: -40.585 eV per formula unit

a b c (Å): 3.790 3.790 4.070
angles (deg): 90.00 90.00 90.00
Last column: magnetic moment on the atom in μB.
Positions (direct):
Mg  0.000  0.000  0.000  0.00
O  0.000  0.500  0.000  0.77
O  0.500  0.000  0.000  0.77
Cu  0.500  0.500  0.500  0.33
N  0.000  0.000  0.500  1.44


Entry 9:
## MgCuSe2N (SCAN)

Data for a PBEsol-optimized structure of MgCuSe2N.

Computed properties:
- Uncorrected formation energy: 818 meV/atom
- ρ: 4.5 g/cm³
- SG: No. 123
- VASP energy: -65.532 eV per formula unit

a b c (Å): 3.860 5.009 5.009
angles (deg): 90.00 90.00 90.00
Last column: magnetic moment on the atom in μB.
Positions (direct):
Mg  0.000  0.000  0.000  0.01
Cu  0.500  0.500  0.500  0.14
Se  0.000  0.000  0.500  0.45
Se  0.000  0.500  0.000  0.45
N  0.500  0.000  0.000  1.37


Entry 10:
## Na2MgCu2 (SCAN)

Data for a PBEsol-optimized structure of Na2MgCu2.

Computed properties:
- ρ: 3.3 g/cm³
- SG: No. 139
- VASP energy: -41.971 eV per formula unit
- Formation enthalpy at 0 K: 0.366 eV/atom

a b c (Å): 3.873 3.873 7.102
angles (deg): 105.82 105.82 90.00
Positions (direct):
Na  0.250  0.750  0.500
Na  0.750  0.250  0.500
Mg  0.000  0.000  0.000
Cu  0.414  0.414  0.827
Cu  0.586  0.586  0.173


Entry 11:
## Mg2Nb2CuO8 (SCAN)

Data for a PBEsol-optimized structure of Mg2Nb2CuO8.

Computed properties:
- Uncorrected formation energy: -2534 meV/atom
- ρ: 4.9 g/cm³
- SG: No. 15
- VASP energy: -174.197 eV per formula unit

a b c (Å): 5.111 5.991 9.876
angles (deg): 107.66 90.69 90.00
Last column: magnetic moment on the atom in μB.
Positions (direct):
Mg  0.754  0.130  0.542  0.00
Mg  0.746  0.588  0.458  0.00
Mg  0.246  0.870  0.458  0.00
Mg  0.254  0.412  0.542  0.00
Nb  0.738  0.948  0.229  0.02
Nb  0.762  0.719  0.771  0.02
Nb  0.262  0.052  0.771  0.02
Nb  0.238  0.281  0.229  0.02
Cu  0.750  0.350  0.000  0.73
Cu  0.250  0.650  0.000  0.73
O  0.076  0.955  0.140  0.02
O  0.424  0.816  0.860  0.02
O  0.924  0.045  0.860  0.02
O  0.576  0.184  0.140  0.02
O  0.562  0.686  0.113  0.07
O  0.938  0.573  0.887  0.07
O  0.438  0.314  0.887  0.07
O  0.062  0.427  0.113  0.07
O  0.451  0.087  0.375  0.01
O  0.049  0.712  0.625  0.01
O  0.380  0.546  0.380  0.00
O  0.120  0.166  0.620  0.00
O  0.620  0.454  0.620  0.00
O  0.880  0.834  0.380  0.00
O  0.951  0.288  0.375  0.01
O  0.549  0.913  0.625  0.01


Entry 12:
## Mg2CuNi (SCAN)

Data for a PBEsol-optimized structure of Mg2CuNi.

Computed properties:
- ρ: 5.0 g/cm³
- SG: No. 123
- VASP energy: -41.815 eV per formula unit
- Formation enthalpy at 0 K: -0.124 eV/atom

a b c (Å): 3.029 3.026 6.206
angles (deg): 90.00 90.00 90.00
Positions (direct):
Ni  0.500  0.500  0.000
Mg  0.000  0.000  0.759
Mg  0.000  0.000  0.241
Cu  0.500  0.500  0.500


no.,size of the total moment (μB/cell)
1,0.0
2,0.0
3,0.0
4,1.5
5,0.0
6,4.0
7,2.0
8,4.0
9,3.4
10,0.0
11,2.0
12,0.0